{
  "formula": "BiSb2TeBr",
  "functional": "GGA-PBE",
  "state": "optimized geometry",
  "lattice_angstrom": [[5.4962, 0.0000, 0.0000], [0.0000, 5.4962, 0.0000], [0.0000, 0.0000, 5.6820]],
  "species": ["Bi", "Sb", "Sb", "Te", "Br"],
  "frac_coords": [[0.0000, 0.0000, 0.0000], [0.0000, 0.5000, 0.5000], [0.5000, 0.0000, 0.5000], [0.5000, 0.5000, 0.0000], [0.5000, 0.5000, 0.5000]],
  "de_polymorph_mev_per_atom": 46,
  "vol_a3_per_atom": 34.3,
  "crystal_system": "tetragonal",
  "raw_formation_energy_ev_per_atom": 0.803
}

{
  "formula": "LiCuSe2Br",
  "functional": "GGA-PBE",
  "state": "optimized geometry",
  "lattice_angstrom": [[4.2899, 0.0000, 0.0000], [0.0000, 4.2899, 0.0000], [0.0000, 0.0000, 7.3130]],
  "species": ["Li", "Cu", "Se", "Se", "Br"],
  "frac_coords": [[0.0000, 0.0000, 0.0000], [0.5000, 0.5000, 0.5000], [0.0000, 0.5000, 0.0000], [0.5000, 0.0000, 0.0000], [0.0000, 0.0000, 0.5000]],
  "de_polymorph_mev_per_atom": 432,
  "vol_a3_per_atom": 26.9,
  "crystal_system": "tetragonal",
  "raw_formation_energy_ev_per_atom": 0.325
}

{
  "formula": "Dy3YC",
  "functional": "GGA-PBE",
  "state": "optimized geometry",
  "lattice_angstrom": [[5.0580, 0.0000, 0.0000], [0.0000, 5.0580, 0.0000], [0.0000, 0.0000, 5.0580]],
  "species": ["Dy", "Dy", "Dy", "Y", "C"],
  "frac_coords": [[0.0000, 0.0000, 0.5000], [0.0000, 0.5000, 0.0000], [0.5000, 0.0000, 0.0000], [0.5000, 0.5000, 0.5000], [0.0000, 0.0000, 0.0000]],
  "vol_a3_per_atom": 25.9,
  "crystal_system": "cubic",
  "formation_enthalpy_0k_kj_per_mol_atoms": -1.4
}

Q: Which formula does entry 3 have?
A: Dy3YC